First-principles (PBE with a Hubbard U) data for a relaxed structure of KRbMoF6, as listed in Alexandria via LeMat-Bulk.

Unit cell a=6.6249 b=6.6249 c=9.2770 alpha=90.00 beta=90.00 gamma=120.00
Space group P-31c (No. 163)
Symmetry-distinct sites (fractional):
1 K 0.0000 0.0000 0.0000 [2 per cell]
2 Rb 0.3333 0.6667 0.2500 [2 per cell]
3 Mo 0.3333 0.6667 0.7500 [2 per cell]
4 F 0.0897 0.4129 0.6266 [12 per cell]

Properties
* electronic total energy: -5.009 eV per atom
* mass density: 3.15 g/cm3